Compound: Ho7Al5In
Source: Alexandria
Functional: PBE
Structure: optimized geometry

Summary:
E_form, eV per atom: -0.24
M_tot, μB/f.u.: 0.0

Geometry as extended XYZ:
```
13
Lattice="-3.097 4.981 5.276 3.097 -4.981 5.276 3.097 4.981 -5.276" Properties=species:S:1:pos:R:3 pbc="T T T"
Ho 0.000 0.000 0.000
Ho 3.097 1.811 0.946
Ho 0.000 0.000 3.822
Ho 0.000 3.286 0.860
Ho 0.000 6.676 0.860
Ho 0.000 4.981 3.486
Ho 0.000 3.169 6.222
Al 1.387 2.442 -1.672
Al 1.710 -2.538 3.604
Al 3.097 0.000 3.513
Al 1.387 7.519 -1.672
Al 1.710 2.538 3.604
In 0.000 0.000 7.098
```